Record 1
First-principles (GGA-PBE) data for a relaxed structure of PaNi3S6, as listed in the Alexandria database.

Lattice parameters (Å, degrees): 3.590 11.699 9.846 117.46 90.00 90.00
Site moments in Bohr magnetons follow the coordinates.
Sites, in units of the cell vectors:
S  0.250  0.925  0.577  0.00
S  0.750  0.748  0.762  -0.01
Pa  0.750  0.113  0.723  0.10
Pa  0.250  0.887  0.277  0.10
S  0.750  0.075  0.423  0.00
S  0.750  0.719  0.272  0.03
Ni  0.250  0.563  0.163  0.34
Ni  0.250  0.414  0.460  -0.03
Ni  0.750  0.231  0.086  -0.01
S  0.250  0.114  0.936  0.00
S  0.750  0.424  0.590  0.00
Ni  0.750  0.437  0.837  0.34
Ni  0.250  0.769  0.914  -0.01
S  0.250  0.576  0.410  0.00
S  0.250  0.252  0.238  -0.01
S  0.250  0.581  0.936  0.07
S  0.250  0.281  0.728  0.03
S  0.750  0.419  0.064  0.07
S  0.750  0.886  0.064  0.00
Ni  0.750  0.586  0.540  -0.03

space group = P2_1/m
VASP energy = -5.804 eV per atom



Record 2
First-principles (GGA-PBE) data for a relaxed structure of PaNi2S3, as listed in the Alexandria database.

Lattice parameters (Å, degrees): 3.536 6.130 9.617 90.00 90.00 90.00
Site moments in Bohr magnetons follow the coordinates.
Sites, in units of the cell vectors:
S  0.000  0.764  0.626  0.01
S  0.500  0.783  0.274  0.02
S  0.500  0.169  0.068  0.02
Pa  0.000  0.009  0.861  0.04
Ni  0.000  0.004  0.200  0.21
Ni  0.000  0.504  0.800  0.21
S  0.000  0.264  0.374  0.01
S  0.500  0.283  0.726  0.02
Ni  0.500  0.972  0.615  0.05
Pa  0.000  0.509  0.139  0.04
S  0.500  0.669  0.932  0.02
Ni  0.500  0.472  0.385  0.05

space group = Pmc2_1
VASP energy = -6.445 eV per atom
relative energy among the computed polymorphs = 0.0000 eV per atom



Number 1: ΔE_f (raw) -0.643 eV/atom. Number 2: ΔE_f (raw) -0.872 eV/atom.